ErThTl3: optimized geometry, PBE.

Cell lengths 9.534, 8.140, 7.867 Å; angles 90.00, 90.00, 90.00 degrees
Atoms (fractional coordinates):
Er1 0.000 0.000 0.000
Er2 0.000 0.500 0.000
Er3 0.500 0.000 0.500
Er4 0.500 0.500 0.500
Th1 0.106 0.250 0.419
Th2 0.394 0.750 0.919
Th3 0.606 0.250 0.081
Th4 0.894 0.750 0.581
Tl1 0.123 0.750 0.277
Tl2 0.190 0.556 0.656
Tl3 0.190 0.944 0.656
Tl4 0.310 0.056 0.156
Tl5 0.310 0.444 0.156
Tl6 0.377 0.250 0.777
Tl7 0.623 0.750 0.223
Tl8 0.690 0.556 0.844
Tl9 0.690 0.944 0.844
Tl10 0.810 0.056 0.344
Tl11 0.810 0.444 0.344
Tl12 0.877 0.250 0.723

## Properties
**Calculated total energy**: -19.082 eV/f.u.
**Energy relative to the elements**: 0.00 eV/atom
**SG**: Pnma, No. 62